[1]
The following is a PBE calculation of an optimized crystal structure of Nb2FeReN, from the Alexandria database.

Properties
Uncorrected formation energy, eV per formula unit: -1.59
Crystal system: tetragonal
Energy, eV/atom: -10.193

Cell: 4.348 4.348 3.633 Å, 90.00 90.00 90.00°
Space group P4/mmm (No. 123)
Symmetry-distinct sites (fractional):
Nb (0.000, 0.500, 0.000) (multiplicity 2)
Fe (0.000, 0.000, 0.500) (multiplicity 1)
Re (0.500, 0.500, 0.500) (multiplicity 1)
N (0.000, 0.000, 0.000) (multiplicity 1)


[2]
The following is a PBE calculation of an optimized crystal structure of Nb2FeRhN, from the Alexandria database.

Properties
Uncorrected formation energy, eV per formula unit: -2.49
Crystal system: tetragonal
Energy, eV/atom: -9.353

Cell: 4.263 4.263 3.764 Å, 90.00 90.00 90.00°
Space group P4/mmm (No. 123)
Symmetry-distinct sites (fractional):
Nb (0.000, 0.500, 0.000) (multiplicity 2)
Fe (0.000, 0.000, 0.500) (multiplicity 1)
Rh (0.500, 0.500, 0.500) (multiplicity 1)
N (0.000, 0.000, 0.000) (multiplicity 1)